The following is a DFT calculation (GGA-PBEsol) of a relaxed structure of CaIn2Au.

N(E_F)   0.40 states/eV per atom
E_form   -0.4075 eV/atom

Lattice parameters (Å, degrees): 3.571 4.744 5.701 90.00 100.94 90.00
Space group P2/m (No. 10)
Unique sites:
Ca: 0.000 0.000 0.000
In: 0.369 0.500 0.732
Au: 0.500 0.000 0.500